Here is crystalline AcGe2O6 at its relaxed geometry from the Alexandria database. Energies are from PBE.

Computed properties:
Crystal system: trigonal
Energy above the lowest structure with this stoichiometry (meV per atom): 0.0
M_tot (μB/f.u.): 1.0
D(E_F) (states/eV per cell): 8.68
Raw formation energy (eV per atom): -2.0249

abc: 5.0839 5.0839 5.3992
angles: 90.00 90.00 120.00
Space group P-31m (No. 162)
Asymmetric unit:
Ac  0.0000  0.0000  0.0000
Ge  0.3333  0.6667  0.5000
O  0.0000  0.3824  0.7009